(1)
A geometry-optimized CaGeH structure, computed with PBE-GGA.

Results
- energy above the lowest structure with this stoichiometry (meV per atom) = 263
- E (eV/atom) = -3.57
- size of the total moment (Bohr magnetons per cell) = 0.00

Structure (CIF):
```
data_CaGeH
_cell_length_a 4.057
_cell_length_b 6.851
_cell_length_c 7.618
_cell_angle_alpha 90.00
_cell_angle_beta 90.00
_cell_angle_gamma 90.00
_symmetry_space_group_name_H-M 'P b c m'
_symmetry_Int_Tables_number 57
loop_
_symmetry_equiv_pos_as_xyz
'x,y,z'
'-x,-y,-z'
'-x,-y,z+1/2'
'x,y,-z+1/2'
'x,-y+1/2,-z'
'-x,y+1/2,z'
'-x,y+1/2,-z+1/2'
'x,-y+1/2,z+1/2'
loop_
_atom_site_label
_atom_site_type_symbol
_atom_site_fract_x
_atom_site_fract_y
_atom_site_fract_z
_atom_site_occupancy
Ca1 Ca 0.003 0.250 0.000 1
Ge1 Ge 0.447 0.501 0.250 1
H1 H 0.147 0.001 0.250 1
```

***

(2)
A geometry-optimized Li13Cd2 structure, computed with PBE-GGA.

Results
- energy above the lowest structure with this stoichiometry (meV per atom) = 0
- formation energy (meV per atom) = -8
- E (eV/atom) = -1.79
- size of the total moment (Bohr magnetons per cell) = 0.00

Structure (CIF):
```
data_Li13Cd2
_cell_length_a 7.6507
_cell_length_b 7.6507
_cell_length_c 18.1544
_cell_angle_alpha 90.00
_cell_angle_beta 90.00
_cell_angle_gamma 120.00
_symmetry_space_group_name_H-M 'R -3 m'
_symmetry_Int_Tables_number 166
_symmetry_space_group_name_Hall '-R 3 2"'
loop_
_atom_site_label
_atom_site_type_symbol
_atom_site_fract_x
_atom_site_fract_y
_atom_site_fract_z
_atom_site_occupancy
Li1 Li 0.0000 0.0000 0.0000 1
Li2 Li 0.0749 0.5374 0.3928 1
Li3 Li 0.0785 0.5392 0.2313 1
Cd1 Cd 0.0000 0.0000 0.1488 1
```

***

(3)
A geometry-optimized Mg2ZnTe structure, computed with PBE-GGA.

Results
- formation energy from raw total energies (eV per atom) = -0.244
- energy above the lowest structure with this stoichiometry (meV per atom) = 0
- E (eV/atom) = -2.15
- size of the total moment (Bohr magnetons per cell) = 0.00

Structure (CIF):
```
data_Mg2ZnTe
_cell_length_a 13.142
_cell_length_b 3.976
_cell_length_c 3.977
_cell_angle_alpha 90.00
_cell_angle_beta 107.50
_cell_angle_gamma 90.00
_symmetry_space_group_name_H-M 'C 1 m 1'
_symmetry_Int_Tables_number 8
loop_
_symmetry_equiv_pos_as_xyz
'x,y,z'
'x,-y,z'
'x+1/2,y+1/2,z'
'x+1/2,-y+1/2,z'
loop_
_atom_site_label
_atom_site_type_symbol
_atom_site_fract_x
_atom_site_fract_y
_atom_site_fract_z
_atom_site_occupancy
Mg1 Mg 0.000 0.000 0.000 1
Mg2 Mg 0.173 0.500 0.666 1
Zn1 Zn 0.216 0.000 0.207 1
Te1 Te 0.432 0.000 0.433 1
```

***

(4)
A geometry-optimized La6As3SeCl2 structure, computed with PBE-GGA.

Results
- formation energy from raw total energies (eV per atom) = -1.723
- E (eV/atom) = -5.95
- size of the total moment (Bohr magnetons per cell) = 0.00

Structure (CIF):
```
data_La6As3SeCl2
_cell_length_a 18.770
_cell_length_b 4.322
_cell_length_c 8.631
_cell_angle_alpha 90.00
_cell_angle_beta 102.77
_cell_angle_gamma 90.00
_symmetry_space_group_name_H-M 'C 1 2/m 1'
_symmetry_Int_Tables_number 12
loop_
_symmetry_equiv_pos_as_xyz
'x,y,z'
'-x,-y,-z'
'-x,y,-z'
'x,-y,z'
'x+1/2,y+1/2,z'
'-x+1/2,-y+1/2,-z'
'-x+1/2,y+1/2,-z'
'x+1/2,-y+1/2,z'
loop_
_atom_site_label
_atom_site_type_symbol
_atom_site_fract_x
_atom_site_fract_y
_atom_site_fract_z
_atom_site_occupancy
La1 La 0.004 0.000 0.247 1
La2 La 0.162 0.500 0.091 1
La3 La 0.168 0.500 0.570 1
As1 As 0.000 0.500 0.000 1
As2 As 0.168 0.000 0.330 1
Se1 Se 0.000 0.500 0.500 1
Cl1 Cl 0.167 0.000 0.833 1
```

***

(5)
A geometry-optimized La2Te structure, computed with PBE-GGA.

Results
- formation energy from raw total energies (eV per atom) = -0.883
- E (eV/atom) = -5.22
- size of the total moment (Bohr magnetons per cell) = 1.59

Structure (CIF):
```
data_La2Te
_cell_length_a 4.2362
_cell_length_b 4.2362
_cell_length_c 7.2650
_cell_angle_alpha 90.00
_cell_angle_beta 90.00
_cell_angle_gamma 120.00
_symmetry_space_group_name_H-M 'P -3 m 1'
_symmetry_Int_Tables_number 164
_symmetry_space_group_name_Hall '-P 3 2"'
loop_
_atom_site_label
_atom_site_type_symbol
_atom_site_fract_x
_atom_site_fract_y
_atom_site_fract_z
_atom_site_occupancy
La1 La 0.3333 0.6667 0.2092 1
Te1 Te 0.0000 0.0000 0.5000 1
```